Run one
The following is a DFT calculation (PBE) of a relaxed structure of Li2AsO4.

Computed properties:
calculated density	2.3	g cm⁻³
crystal system	orthorhombic
D(E_F)	0.72	states/eV/cell

a b c (Å): 8.7067 10.9602 9.0820
angles (deg): 90.00 90.00 90.00
Space group Ccce (No. 68, origin choice 2)
Symmetry-distinct sites (fractional):
Li 0.0000 0.0908 0.2500 x8
Li 0.2118 0.2500 0.7500 x8
As 0.2500 0.0000 0.0438 x8
O 0.0971 0.0265 0.4247 x16
O 0.2050 0.1241 0.1485 x16

---

Run two
The following is a DFT calculation (PBE) of a relaxed structure of Li2AsO4.

Computed properties:
calculated density	3.4	g cm⁻³
crystal system	monoclinic
D(E_F)	6.20	states/eV/cell

a b c (Å): 10.7754 2.9158 5.0990
angles (deg): 90.00 111.54 90.00
Space group C2/m (No. 12)
Symmetry-distinct sites (fractional):
Li 0.1655 0.0000 0.0928 x4
As 0.0000 0.5000 0.5000 x2
O 0.0761 0.0000 0.3631 x4
O 0.1394 0.5000 0.8228 x4

---

Result of the stability comparison: run one is the least stable of them.

---

Run one
The following is a DFT calculation (PBE) of a relaxed structure of Li3AsO.

Computed properties:
calculated density	3.1	g cm⁻³
crystal system	cubic
D(E_F)	2.32	states/eV/cell

a b c (Å): 3.9324 3.9324 3.9324
angles (deg): 90.00 90.00 90.00
Space group Pm-3m (No. 221)
Symmetry-distinct sites (fractional):
Li 0.0000 0.0000 0.5000 x3
As 0.5000 0.5000 0.5000 x1
O 0.0000 0.0000 0.0000 x1

---

Run two
The following is a DFT calculation (PBE) of a relaxed structure of Li3AsO.

Computed properties:
calculated density	2.7	g cm⁻³
crystal system	monoclinic
D(E_F)	3.21	states/eV/cell

a b c (Å): 10.3881 3.6710 7.6884
angles (deg): 90.00 108.32 90.00
Space group C2/m (No. 12)
Symmetry-distinct sites (fractional):
Li 0.0704 0.0000 0.1483 x4
Li 0.1272 0.0000 0.6908 x4
Li 0.1754 0.5000 0.9618 x4
As 0.1595 0.5000 0.4467 x4
O 0.1240 0.0000 0.9309 x4

---

Run three
The following is a DFT calculation (PBE) of a relaxed structure of Li3AsO.

Computed properties:
calculated density	1.7	g cm⁻³
crystal system	cubic
D(E_F)	2.80	states/eV/cell

a b c (Å): 4.7748 4.7748 4.7748
angles (deg): 90.00 90.00 90.00
Space group Pm-3m (No. 221)
Symmetry-distinct sites (fractional):
Li 0.0000 0.0000 0.5000 x3
As 0.0000 0.0000 0.0000 x1
O 0.5000 0.5000 0.5000 x1

---

Result of the stability comparison: run three is the least stable of them.

---

Run one
The following is a DFT calculation (PBE) of a relaxed structure of LiAs3O.

Computed properties:
calculated density	4.8	g cm⁻³
crystal system	cubic
D(E_F)	4.33	states/eV/cell

a b c (Å): 4.4216 4.4216 4.4216
angles (deg): 90.00 90.00 90.00
Space group Pm-3m (No. 221)
Symmetry-distinct sites (fractional):
Li 0.0000 0.0000 0.0000 x1
As 0.0000 0.5000 0.5000 x3
O 0.5000 0.5000 0.5000 x1

---

Run two
The following is a DFT calculation (PBE) of a relaxed structure of LiAs3O.

Computed properties:
calculated density	4.7	g cm⁻³
crystal system	cubic
D(E_F)	3.04	states/eV/cell

a b c (Å): 4.4552 4.4552 4.4552
angles (deg): 90.00 90.00 90.00
Space group Pm-3m (No. 221)
Symmetry-distinct sites (fractional):
Li 0.0000 0.0000 0.0000 x1
As 0.0000 0.0000 0.5000 x3
O 0.5000 0.5000 0.5000 x1

---

Result of the stability comparison: run two is the least stable of them.

---

Run one
The following is a DFT calculation (PBE) of a relaxed structure of Li2AsO.

Computed properties:
calculated density	3.4	g cm⁻³
crystal system	cubic
D(E_F)	12.47	states/eV/cell

a b c (Å): 5.8994 5.8994 5.8994
angles (deg): 90.00 90.00 90.00
Space group Fm-3m (No. 225)
Symmetry-distinct sites (fractional):
Li 0.2500 0.2500 0.2500 x8
As 0.0000 0.0000 0.0000 x4
O 0.0000 0.0000 0.5000 x4

---

Run two
The following is a DFT calculation (PBE) of a relaxed structure of Li2AsO.

Computed properties:
calculated density	3.1	g cm⁻³
crystal system	tetragonal
D(E_F)	2.60	states/eV/cell

a b c (Å): 5.5990 5.5990 7.2272
angles (deg): 90.00 90.00 90.00
Space group I-42d (No. 122)
Symmetry-distinct sites (fractional):
Li 0.1020 0.2500 0.1250 x8
As 0.0000 0.0000 0.5000 x4
O 0.0000 0.0000 0.0000 x4

---

Result of the stability comparison: run one is the least stable of them.